First-principles (GGA-PBE) data for a geometry-optimized BaAs2PbBr structure, as listed in Alexandria via LeMat-Bulk.

Results
Symmetry ... P4/mmm (123)
Raw total energy ... -3.63 eV per atom
Crystal system ... tetragonal
ΔE_f (raw) ... -0.3130 eV/atom

```
BaAs2PbBr
1.0
-1.4959 -3.7741 -3.5773
4.7198 0.5770 -2.5824
2.4175 -4.2469 3.4696
Pb As Ba Br
1 2 1 1
direct
0.0000 0.0000 0.0000
0.0000 0.5000 0.0000
0.5000 0.0000 0.0000
0.5000 0.5000 0.5000
0.0000 0.0000 0.5000
```